Material: La4PmPrCd2
Method: DFT, PBE-GGA
State: optimized geometry

Geometry as POSCAR:
```
La4PmPrCd2
1.0
5.8238 -2.7811 0.0000
5.8238 2.7811 0.0000
-1.8052 0.0000 8.3558
La Pm Pr Cd
4 1 1 2
Cartesian
0.8661 0.0000 4.0744
3.3691 0.0000 1.2630
6.4733 0.0000 7.0928
8.9764 0.0000 4.2814
4.9212 0.0000 4.1779
0.0000 0.0000 0.0000
2.9130 0.0000 6.6896
6.9294 0.0000 1.6661
```

Calculated values
Formation energy from the elements ... -28 kJ/mol of formula units
Space group ... C2/m
Total moment ... 0.0 Bohr magnetons per cell
Energy ... -3.92 eV/atom
Theoretical density ... 6542 kg/m³